## ZrNbTc2 (PBE-GGA)

Data for crystalline ZrNbTc2 at its relaxed geometry.

energy relative to the elements: -0.03 kcal/mol of atoms
E_tot: -9.842 eV/atom
magnetic moment: 0.000 μB/f.u.
crystal system: orthorhombic
excess energy over the best structure of this formula in the dataset: 1.47 eV/f.u.

Unit cell a=10.317 b=4.818 c=5.609 alpha=90.00 beta=90.00 gamma=90.00
Space group Pnma (No. 62)
One atom of each set of equivalent atoms:
Zr 0.072 0.250 0.161
Nb 0.076 0.250 0.656
Tc 0.172 0.750 0.464
Tc 0.183 0.750 0.009